Record 1
A plane-wave DFT calculation with GGA-PBE was carried out for crystalline RbMgIn2Sn2 at its relaxed geometry.

Lattice parameters (Å, degrees): 5.1872 5.1872 8.3039 90.00 90.00 120.00
Last column: nearest neighbours and their distance in Å.
Fractional coordinates of all 6 atoms:
Rb 0.0000 0.0000 0.0000  6 Sn 3.87, 6 In 4.11, 2 Mg 4.15
In 0.3333 0.6667 0.6616  4 Sn 3.02-3.04, 3 Mg 3.28
In 0.6667 0.3333 0.3384  4 Sn 3.02-3.04, 3 Mg 3.28
Mg 0.0000 0.0000 0.5000  6 In 3.28, 6 Sn 3.45
Sn 0.3333 0.6667 0.2949  4 In 3.02-3.04
Sn 0.6667 0.3333 0.7051  4 In 3.02-3.04

Properties
- M_tot (Bohr magnetons per cell) = 0.0
- space group = P-3m1 (164)
- crystal system = trigonal
- ΔE_f (meV per atom) = -109

***

Record 2
A plane-wave DFT calculation with GGA-PBE was carried out for crystalline BaCdHg2 at its relaxed geometry.

Lattice parameters (Å, degrees): 7.2768 7.2768 7.2768 140.08 57.25 140.72
Last column: nearest neighbours and their distance in Å.
Fractional coordinates of all 4 atoms:
Cd 0.0000 0.0000 0.0000  2 Hg 2.89
Ba 0.5000 0.0000 0.5000  4 Cd 3.49, 2 Hg 3.50
Hg 0.7741 0.0000 0.7741  1 Cd 2.89
Hg 0.2259 0.0000 0.2259  1 Cd 2.89

Properties
- M_tot (Bohr magnetons per cell) = 0.0
- space group = Immm (71)
- crystal system = orthorhombic
- ΔE_f (meV per atom) = -81

***

Record 3
A plane-wave DFT calculation with GGA-PBE was carried out for crystalline SrCePm2N4 at its relaxed geometry.

Lattice parameters (Å, degrees): 7.2596 7.2596 7.2879 120.13 120.13 89.27
Last column: nearest neighbours and their distance in Å.
Fractional coordinates of all 16 atoms:
Pm 0.5000 0.0000 0.5000  6 N 2.48-2.51
Sr 0.0000 0.5000 0.5000  6 N 2.62-2.67
Ce 0.0000 0.0000 0.0000  6 N 2.38-2.58
N 0.2818 0.7486 0.5152  1 Ce 2.38, 2 Pm 2.51, 2 Sr 2.67
Ce 0.5000 0.5000 0.5000  6 N 2.38-2.58
N 0.7182 0.2514 0.4848  1 Ce 2.38, 2 Pm 2.51, 2 Sr 2.67
N 0.2486 0.7818 0.0152  1 Ce 2.38, 2 Pm 2.51, 2 Sr 2.67
N 0.2565 0.2435 0.0007  3 Pm 2.48-2.59, 2 Ce 2.58, 1 Sr 2.62
N 0.7435 0.7565 0.9993  3 Pm 2.48-2.59, 2 Ce 2.58, 1 Sr 2.62
N 0.2565 0.2435 0.4993  3 Pm 2.48-2.59, 2 Ce 2.58, 1 Sr 2.62
Sr 0.0000 0.5000 0.0000  6 N 2.62-2.67
Pm 0.5000 0.5000 0.0000  6 N 2.59-2.72
N 0.7515 0.2182 0.9848  1 Ce 2.38, 2 Pm 2.51, 2 Sr 2.67
N 0.7435 0.7565 0.5007  3 Pm 2.48-2.59, 2 Ce 2.58, 1 Sr 2.62
Pm 0.0000 0.0000 0.5000  6 N 2.59-2.72
Pm 0.5000 0.0000 0.0000  6 N 2.48-2.51

Properties
- M_tot (Bohr magnetons per cell) = 0.0
- space group = Imma (74)
- crystal system = orthorhombic
- final energy (eV per atom) = -7.550

***

Record 4
A plane-wave DFT calculation with GGA-PBE was carried out for crystalline CrMoP2 at its relaxed geometry.

Lattice parameters (Å, degrees): 7.3729 7.3729 7.3729 22.86 22.86 22.86
Last column: nearest neighbours and their distance in Å.
Fractional coordinates of all 4 atoms:
P 0.5056 0.5056 0.5056  3 Cr 2.38, 3 Mo 2.55
P 0.9944 0.9944 0.9944  3 Cr 2.38, 3 Mo 2.55
Mo 0.7500 0.7500 0.7500  6 P 2.55
Cr 0.2500 0.2500 0.2500  6 P 2.38

Properties
- M_tot (Bohr magnetons per cell) = 0.0
- space group = R-3m (166)
- crystal system = trigonal
- ΔE_f (meV per atom) = -105

***

Record 5
A plane-wave DFT calculation with GGA-PBE was carried out for crystalline CaAsIr2Br at its relaxed geometry.

Lattice parameters (Å, degrees): 4.5398 5.9117 4.5398 90.00 90.00 90.00
Last column: nearest neighbours and their distance in Å.
Fractional coordinates of all 5 atoms:
Ir 0.0000 0.0000 0.5000  2 As 2.27
Ir 0.5000 0.0000 0.0000  2 As 2.27
As 0.0000 0.0000 0.0000  4 Ir 2.27
Ca 0.5000 0.5000 0.5000  4 Br 3.21
Br 0.0000 0.5000 0.0000  2 As 2.96, 4 Ca 3.21

Properties
- M_tot (Bohr magnetons per cell) = 0.0
- space group = P4/mmm (123)
- crystal system = tetragonal
- final energy (eV per atom) = -5.148

***

Record 6
A plane-wave DFT calculation with GGA-PBE was carried out for crystalline CuSb2Cl at its relaxed geometry.

Lattice parameters (Å, degrees): 4.0889 4.0889 7.0931 81.94 81.94 61.32
Last column: nearest neighbours and their distance in Å.
Fractional coordinates of all 4 atoms:
Cl 0.7500 0.7500 0.7500  2 Sb 2.83
Sb 0.9270 0.9270 0.0808  3 Cu 2.62-2.74, 1 Cl 2.83
Sb 0.5730 0.5730 0.4192  3 Cu 2.62-2.74, 1 Cl 2.83
Cu 0.2500 0.2500 0.2500  6 Sb 2.62-2.74

Properties
- M_tot (Bohr magnetons per cell) = 0.0
- space group = C2/m (12)
- crystal system = monoclinic
- final energy (eV per atom) = -3.696

***

Record 7
A plane-wave DFT calculation with GGA-PBE was carried out for crystalline BaAgP at its relaxed geometry.

Lattice parameters (Å, degrees): 5.6201 7.9359 4.5758 90.05 114.42 76.70
Last column: nearest neighbours and their distance in Å.
Fractional coordinates of all 6 atoms:
Ba 0.4544 0.3580 0.0416  4 P 3.17-3.20, 3 Ag 3.42
P 0.8077 0.9673 0.2210  3 Ag 2.67-2.68
Ag 0.8918 0.1199 0.7631  3 P 2.67-2.68
Ag 0.8918 0.6199 0.2631  3 P 2.67-2.68
P 0.8078 0.4673 0.7211  3 Ag 2.67-2.68
Ba 0.4543 0.8579 0.5416  4 P 3.17-3.20, 3 Ag 3.42

Properties
- M_tot (Bohr magnetons per cell) = 0.0
- space group = P1 (1)
- crystal system = triclinic
- ΔE_f (meV per atom) = -579

***

Record 8
A plane-wave DFT calculation with GGA-PBE was carried out for crystalline AcTlC at its relaxed geometry.

Lattice parameters (Å, degrees): 4.5380 4.8972 8.5323 107.53 90.00 117.60
Last column: nearest neighbours and their distance in Å.
Fractional coordinates of all 6 atoms:
C 0.4198 0.8397 0.9727  1 C 1.31
Ac 0.9100 0.8199 0.1827  3 C 2.72-2.91
Ac 0.0900 0.1801 0.8173  3 C 2.72-2.91
Tl 0.6806 0.3612 0.5624  3 Tl 2.93-2.95
Tl 0.3194 0.6388 0.4376  3 Tl 2.93-2.95
C 0.5802 0.1603 0.0273  1 C 1.31

Properties
- M_tot (Bohr magnetons per cell) = 0.0
- space group = C2/m (12)
- crystal system = monoclinic
- ΔE_f (meV per atom) = -137